Record 1
First-principles (PBE-GGA) data for crystalline NdTlPO at its relaxed geometry, as listed in OQMD via LeMat-Bulk.

Unit cell a=5.0538 b=5.0538 c=7.1527 alpha=90.00 beta=90.00 gamma=90.00
Each line ends with the local moment (μB).
Element x y z (fractional)
Nd (0.0000, 0.0000, 0.5000)  0.03
Nd (0.5000, 0.5000, 0.5000)  0.03
O (0.0000, 0.0000, 0.0000)  0.39
O (0.5000, 0.5000, 0.0000)  0.39
P (0.5000, 0.0000, 0.3205)  0.07
P (0.0000, 0.5000, 0.6795)  0.07
Tl (0.0000, 0.5000, 0.0857)  0.07
Tl (0.5000, 0.0000, 0.9143)  0.07

Computed properties:
**Electronic total energy**: -4.870 eV per atom
**Offset from the most stable computed form**: 3.31 eV per formula unit



Record 2
First-principles (PBE-GGA) data for crystalline NdTlPO at its relaxed geometry, as listed in OQMD via LeMat-Bulk.

Unit cell a=5.5085 b=5.4159 c=6.2512 alpha=90.00 beta=90.00 gamma=90.00
Element x y z (fractional)
Nd (0.0000, 0.7871, 0.0429)
Nd (0.0000, 0.2129, 0.5429)
O (0.0000, 0.8393, 0.3962)
O (0.0000, 0.1607, 0.8962)
P (0.5000, 0.2688, 0.3785)
P (0.5000, 0.7312, 0.8785)
Tl (0.5000, 0.7642, 0.4363)
Tl (0.5000, 0.2358, 0.9363)

Computed properties:
**Electronic total energy**: -5.591 eV per atom
**Offset from the most stable computed form**: 0.42 eV per formula unit



Record 3
First-principles (PBE-GGA) data for crystalline NdTlPO at its relaxed geometry, as listed in OQMD via LeMat-Bulk.

Unit cell a=4.2747 b=4.2747 c=9.4920 alpha=90.00 beta=90.00 gamma=90.00
Element x y z (fractional)
Nd (0.2500, 0.2500, 0.1133)
Nd (0.7500, 0.7500, 0.8867)
O (0.7500, 0.2500, 0.0000)
O (0.2500, 0.7500, 0.0000)
P (0.7500, 0.7500, 0.2856)
P (0.2500, 0.2500, 0.7144)
Tl (0.7500, 0.2500, 0.5000)
Tl (0.2500, 0.7500, 0.5000)

Computed properties:
**Electronic total energy**: -5.697 eV per atom
**Offset from the most stable computed form**: 0.00 eV per formula unit



Record 4
First-principles (PBE-GGA) data for crystalline NdTmPO at its relaxed geometry, as listed in OQMD via LeMat-Bulk.

Unit cell a=4.2962 b=4.2962 c=8.7373 alpha=90.00 beta=90.00 gamma=90.00
Element x y z (fractional)
Nd (0.7500, 0.2500, 0.5000)
Nd (0.2500, 0.7500, 0.5000)
O (0.7500, 0.2500, 0.0000)
O (0.2500, 0.7500, 0.0000)
P (0.7500, 0.7500, 0.2853)
P (0.2500, 0.2500, 0.7147)
Tm (0.2500, 0.2500, 0.0910)
Tm (0.7500, 0.7500, 0.9090)

Computed properties:
**Electronic total energy**: -6.678 eV per atom
**Offset from the most stable computed form**: 0.74 eV per formula unit